[1]
Compound: Th2PtAu
Source: Alexandria
Functional: PBE
Structure: optimized geometry

Cell: 3.6450 3.6450 7.4750 Å, 90.00 90.00 90.00°
Sites, in units of the cell vectors:
Th 0.0000 0.0000 0.2360
Au 0.5000 0.5000 0.5000
Pt 0.5000 0.5000 0.0000
Th 0.0000 0.0000 0.7640

***

[2]
Compound: Th2PtAu
Source: Alexandria
Functional: PBE
Structure: optimized geometry

Cell: 4.5397 6.0005 8.0878 Å, 110.42 90.00 90.00°
Sites, in units of the cell vectors:
Au 0.2500 0.3197 0.2056
Th 0.7500 0.2209 0.4375
Pt 0.2500 0.3091 0.7026
Th 0.2500 0.7791 0.5625
Th 0.2500 0.7714 0.0771
Pt 0.7500 0.6909 0.2974
Th 0.7500 0.2286 0.9229
Au 0.7500 0.6803 0.7944

***

[3]
Compound: ThPt4Au2
Source: Alexandria
Functional: PBE
Structure: optimized geometry

Cell: 5.4504 5.6192 5.6192 Å, 76.36 60.79 60.79°
Sites, in units of the cell vectors:
Th 0.0000 0.0000 0.0000
Au 0.7490 0.5010 0.5010
Pt 0.3016 0.3954 0.0001
Au 0.2510 0.4990 0.4990
Pt 0.3016 0.0001 0.3954
Pt 0.6984 0.9999 0.6046
Pt 0.6984 0.6046 0.9999

***

[4]
Compound: Th3Pt2Au2
Source: Alexandria
Functional: PBE
Structure: optimized geometry

Cell: 7.6814 7.6814 7.6814 Å, 109.47 109.47 109.47°
Sites, in units of the cell vectors:
Th 0.3518 0.1018 0.7500
Pt 0.1394 0.6394 0.6394
Au 0.8117 0.5000 0.0000
Th 0.7500 0.6482 0.3982
Au 0.6883 0.1883 0.1883
Th 0.1482 0.3982 0.2500
Au 0.0000 0.0000 0.3117
Th 0.8982 0.2500 0.6482
Pt 0.5000 0.8606 0.5000
Th 0.6018 0.7500 0.8518
Au 0.5000 0.3117 0.5000
Th 0.2500 0.8518 0.1018
Pt 0.3606 0.5000 0.0000
Pt 0.0000 0.0000 0.8606

***

[5]
Compound: Th7Pt2Au2
Source: Alexandria
Functional: PBE
Structure: optimized geometry

Cell: 6.8714 7.0799 6.8714 Å, 90.06 105.56 89.94°
Sites, in units of the cell vectors:
Pt 0.7236 0.0000 0.2764
Th 0.5002 0.7290 0.4998
Pt 0.2764 0.0000 0.7236
Au 0.8319 0.5000 0.8319
Au 0.1681 0.5000 0.1681
Th 0.4997 0.2796 0.0002
Th 0.4998 0.2710 0.5002
Th 0.0002 0.7204 0.4997
Th 0.5003 0.7204 0.9998
Th 0.0000 0.0000 0.0000
Th 0.9998 0.2796 0.5003

***

[6]
Compound: ThPtAu
Source: Alexandria
Functional: PBE
Structure: optimized geometry

## Properties
Energy above the most stable polymorph in this dataset ... 0 kJ/mol of formula units

Cell: 4.8634 5.7665 5.3575 Å, 90.00 116.99 90.00°
Sites, in units of the cell vectors:
Th 0.3223 0.7500 0.1446
Th 0.6777 0.2500 0.8554
Au 0.0000 0.0000 0.5000
Pt 0.6419 0.7500 0.7837
Au 0.0000 0.5000 0.5000
Pt 0.3581 0.2500 0.2163

***

[7]
Compound: ThPtAu2
Source: Alexandria
Functional: PBE
Structure: optimized geometry

## Properties
Energy above the most stable polymorph in this dataset ... 0 kJ/mol of formula units

Cell: 4.1808 5.4436 8.1538 Å, 90.00 90.00 112.61°
Sites, in units of the cell vectors:
Pt 0.2329 0.4634 0.7500
Au 0.3671 0.7358 0.0534
Th 0.9356 0.8711 0.7500
Au 0.6329 0.2642 0.9466
Au 0.6329 0.2642 0.5534
Au 0.3671 0.7358 0.4466
Pt 0.7671 0.5366 0.2500
Th 0.0644 0.1289 0.2500

***

[8]
Compound: ThPtAu
Source: Alexandria
Functional: PBE
Structure: optimized geometry

## Properties
Energy above the most stable polymorph in this dataset ... 43 kJ/mol of formula units

Cell: 4.6900 4.6900 7.1371 Å, 90.00 90.00 120.00°
Sites, in units of the cell vectors:
Pt 0.6667 0.3333 0.9816
Au 0.3333 0.6667 0.4891
Th 0.0000 0.0000 0.7641
Au 0.6667 0.3333 0.5109
Th 0.0000 0.0000 0.2359
Pt 0.3333 0.6667 0.0184

***

| no. | energy of formation (eV per atom) |
| --- | --- |
| 1 | -0.795 |
| 2 | -0.904 |
| 3 | -0.547 |
| 4 | -0.937 |
| 5 | -0.363 |
| 6 | -1.008 |
| 7 | -0.776 |
| 8 | -0.858 |